Compound: PmMgRhAu
Source: Alexandria via LeMat-Bulk
Functional: PBE-GGA
Structure: relaxed

Properties
- DFT formation energy: -2.38 eV per formula unit
- Space group: F-43m (216)

The structure in POSCAR format:
```
PmMgRhAu
1.0
4.876 0.000 0.000
2.438 4.223 0.000
2.438 1.408 3.981
Au Pm Mg Rh
1 1 1 1
Cartesian
7.314 4.223 2.986
4.876 2.815 1.991
0.000 0.000 0.000
2.438 1.408 0.995
```

Compound: SeBr3Cl
Source: Alexandria via LeMat-Bulk
Functional: PBE-GGA
Structure: relaxed

Properties
- E_form (uncorrected): -0.9 eV/f.u.
- Space group: Pc (7)
- Polymorph energy (0 for the lowest one): 0 meV per atom

The structure in POSCAR format:
```
SeBr3Cl
1.0
-3.458 3.984 2.979
-5.383 0.600 -7.060
-4.615 -6.249 2.984
Br Cl Se
6 2 2
Cartesian
-7.972 -0.524 -3.469
-5.852 1.550 -1.154
-8.059 0.992 0.563
-10.479 -3.918 -1.849
-8.193 -3.368 -3.463
-10.168 -1.864 1.925
-5.602 -3.173 0.964
-4.010 1.836 2.296
-6.544 -3.431 -1.038
-7.744 1.885 -3.372
```

Compound: ScTl2Cl
Source: Alexandria via LeMat-Bulk
Functional: PBE-GGA
Structure: relaxed

Properties
- E_form (uncorrected): -1.4 eV/f.u.
- Space group: P4/mmm (123)

The structure in POSCAR format:
```
ScTl2Cl
1.0
3.451 0.000 0.000
0.000 5.423 0.000
0.000 0.000 5.423
Cl Sc Tl
1 1 2
Cartesian
1.726 2.711 0.000
1.726 0.000 2.711
0.000 2.711 2.711
0.000 0.000 0.000
```

Compound: Li7AgHg2
Source: Alexandria via LeMat-Bulk
Functional: PBE-GGA
Structure: relaxed

Properties
- DFT formation energy: -1.87 eV per formula unit
- Space group: P3m1 (156)
- Polymorph energy (0 for the lowest one): 0 meV per atom

The structure in POSCAR format:
```
Li7AgHg2
1.0
4.521 0.000 0.000
-2.261 3.915 0.000
0.000 0.000 10.493
Li Hg Ag
7 2 1
Cartesian
0.000 0.000 3.463
0.000 0.000 7.989
0.000 2.610 4.147
2.261 1.305 10.147
0.000 2.610 1.526
0.000 2.610 9.447
2.261 1.305 5.648
0.000 2.610 6.798
2.261 1.305 2.617
0.000 0.000 0.506
```

Compound: LiCd2Ga8
Source: Alexandria via LeMat-Bulk
Functional: PBE-GGA
Structure: relaxed

Properties
- DFT formation energy: 0.15 eV per formula unit
- Space group: C2/m (12)

The structure in POSCAR format:
```
LiCd2Ga8
1.0
-2.678 2.149 3.459
1.081 -4.667 5.180
5.271 2.442 4.006
Ga Li Cd
8 1 2
Cartesian
1.515 -0.112 4.723
2.190 -2.318 6.162
4.490 -1.453 7.217
1.484 2.242 6.483
3.944 0.658 5.670
2.159 0.037 7.923
-0.816 1.378 5.428
-0.270 -0.733 6.975
0.000 0.000 0.000
-0.400 0.697 2.794
4.073 -0.773 9.852
```

Compound: CeHg2Ge
Source: Alexandria via LeMat-Bulk
Functional: PBE-GGA
Structure: relaxed

Properties
- DFT formation energy: -0.88 eV per formula unit
- Space group: Fm-3m (225)
- Polymorph energy (0 for the lowest one): 140 meV per atom

The structure in POSCAR format:
```
CeHg2Ge
1.0
-4.252 2.748 0.995
-2.812 -1.029 4.202
-0.058 3.326 3.944
Ce Hg Ge
1 2 1
Cartesian
0.000 0.000 0.000
-1.780 1.261 2.285
-5.341 3.783 6.856
-3.561 2.522 4.570
```

Compound: CeYBr4
Source: Alexandria via LeMat-Bulk
Functional: PBE-GGA
Structure: relaxed

Properties
- E_form (uncorrected): -9.6 eV/f.u.
- Space group: P2/m (10)

The structure in POSCAR format:
```
CeYBr4
1.0
-3.230 -1.385 1.793
4.428 -4.646 4.389
-0.635 6.003 3.492
Y Br Ce
1 4 1
Cartesian
1.896 0.678 3.940
1.205 0.258 6.712
3.161 -1.909 4.220
0.632 3.266 3.660
-0.643 -0.286 2.962
0.599 -3.015 3.091
```

Compound: Ca3PmF8
Source: Alexandria via LeMat-Bulk
Functional: PBE-GGA
Structure: relaxed

Properties
- E_form (uncorrected): -45.2 eV/f.u.
- Space group: Pm-3m (221)

The structure in POSCAR format:
```
Ca3PmF8
1.0
5.583 0.000 0.000
0.000 5.583 0.000
0.000 0.000 5.583
F Ca Pm
8 3 1
Cartesian
1.420 4.164 4.164
4.164 1.420 4.164
1.420 1.420 1.420
4.164 1.420 1.420
4.164 4.164 4.164
1.420 1.420 4.164
1.420 4.164 1.420
4.164 4.164 1.420
2.792 2.792 0.000
0.000 2.792 2.792
2.792 0.000 2.792
0.000 0.000 0.000
```

Compound: AlAg2Te
Source: Alexandria via LeMat-Bulk
Functional: PBE-GGA
Structure: relaxed

Properties
- E_form (uncorrected): 1.0 eV/f.u.
- Space group: F-43m (216)
- Polymorph energy (0 for the lowest one): 204 meV per atom

The structure in POSCAR format:
```
AlAg2Te
1.0
-1.251 4.437 -1.882
-3.345 0.291 -3.677
-4.518 1.897 0.888
Te Ag Al
1 2 1
Cartesian
-6.835 4.969 -3.503
-2.278 1.656 -1.168
0.000 0.000 0.000
-4.557 3.312 -2.335
```

Compound: Tl2HgW
Source: Alexandria via LeMat-Bulk
Functional: PBE-GGA
Structure: relaxed

Properties
- DFT formation energy: 4.17 eV per formula unit
- Space group: P4/mmm (123)
- Polymorph energy (0 for the lowest one): 327 meV per atom

The structure in POSCAR format:
```
Tl2HgW
1.0
4.266 0.000 0.000
0.000 4.561 0.000
0.000 0.000 4.561
Tl Hg W
2 1 1
Cartesian
0.000 2.281 2.281
0.000 0.000 0.000
2.133 0.000 2.281
2.133 2.281 0.000
```

Compound: TmHPb
Source: Alexandria via LeMat-Bulk
Functional: PBE-GGA
Structure: relaxed

Properties
- Space group: C2/m (12)
- Polymorph energy (0 for the lowest one): 153 meV per atom

The structure in POSCAR format:
```
TmHPb
1.0
3.629 0.000 0.000
-1.815 5.956 -0.669
0.000 -2.490 6.191
H Tm Pb
2 2 2
Cartesian
1.815 2.492 3.049
0.000 0.974 2.473
0.000 2.381 4.037
1.815 1.085 1.485
0.000 3.852 0.863
1.815 -0.387 4.659
```

Compound: Sc5In2IrRu2
Source: Alexandria via LeMat-Bulk
Functional: PBE-GGA
Structure: relaxed

Properties
- DFT formation energy: -5.02 eV per formula unit
- Space group: P4/mbm (127)

The structure in POSCAR format:
```
Sc5In2IrRu2
1.0
3.241 0.000 0.000
0.000 11.125 0.000
0.000 0.000 11.125
Ru In Sc Ir
4 4 10 2
Cartesian
0.000 9.625 4.062
0.000 1.501 7.063
0.000 4.062 1.501
0.000 7.063 9.625
0.000 1.960 3.603
0.000 3.603 9.165
0.000 7.522 1.960
0.000 9.165 7.522
1.621 0.730 8.954
1.621 4.833 3.392
1.621 0.000 5.563
1.621 7.733 4.833
1.621 5.563 0.000
1.621 8.954 10.395
1.621 3.392 6.293
1.621 6.293 7.733
1.621 10.395 2.171
1.621 2.171 0.730
0.000 0.000 0.000
0.000 5.563 5.563
```

Compound: MgZrBi2Te
Source: Alexandria via LeMat-Bulk
Functional: PBE-GGA
Structure: relaxed

Properties
- E_form (uncorrected): 3.8 eV/f.u.
- Space group: P4/mmm (123)
- Polymorph energy (0 for the lowest one): 597 meV per atom

The structure in POSCAR format:
```
MgZrBi2Te
1.0
-4.668 1.069 3.505
-3.131 -1.299 -3.773
0.102 -5.636 1.856
Te Bi Zr Mg
1 2 1 1
Cartesian
0.000 0.000 0.000
-2.334 0.535 1.753
0.051 -2.818 0.928
-3.848 -2.933 0.794
-1.565 -0.649 -1.886
```

Compound: Pr6N3Cl2
Source: Alexandria via LeMat-Bulk
Functional: PBE-GGA
Structure: relaxed

Properties
- E_form (uncorrected): -14.6 eV/f.u.
- Space group: C2/m (12)

The structure in POSCAR format:
```
Pr6N3Cl2
1.0
0.448 -5.772 2.957
2.242 -5.158 -3.262
6.496 -0.416 2.964
Cl Pr N
2 6 3
Cartesian
4.816 -4.607 -0.196
4.371 -6.739 2.856
6.897 -6.105 1.366
1.422 -1.654 1.398
5.978 -2.437 1.520
5.523 -4.534 4.524
3.209 -8.909 1.140
2.290 -5.241 1.294
0.902 -3.649 -0.113
0.000 0.000 0.000
1.789 -7.281 -0.191
```

Compound: CeYEr2Se6
Source: Alexandria via LeMat-Bulk
Functional: PBE-GGA
Structure: relaxed

Properties
- E_form (uncorrected): -18.2 eV/f.u.
- Space group: R3 (146)

The structure in POSCAR format:
```
CeYEr2Se6
1.0
-0.664 6.884 -2.206
-4.858 4.371 3.160
2.618 5.572 4.657
Er Se Ce Y
2 6 1 1
Cartesian
-1.647 8.333 2.615
2.463 5.508 4.505
-0.040 6.791 4.436
0.838 9.748 2.294
-2.941 10.326 1.083
-1.836 10.055 4.914
-3.927 6.928 3.521
-0.872 6.603 0.518
-3.018 12.277 3.391
-1.629 3.838 0.525
```

Compound: ZrOs2PdCl
Source: Alexandria via LeMat-Bulk
Functional: PBE-GGA
Structure: relaxed

Properties
- E_form (uncorrected): 10.0 eV/f.u.
- Space group: P4/mmm (123)

The structure in POSCAR format:
```
ZrOs2PdCl
1.0
-2.712 -2.337 -3.416
1.023 -4.457 2.237
-4.018 0.506 2.844
Os Pd Zr Cl
2 1 1 1
Cartesian
-2.009 0.253 1.422
-1.356 -1.168 -1.708
0.511 -2.228 1.118
0.000 0.000 0.000
-2.854 -3.144 0.833
```

Compound: CrSbS2
Source: Alexandria via LeMat-Bulk
Functional: PBE-GGA
Structure: relaxed

Properties
- E_form (uncorrected): -0.1 eV/f.u.
- Space group: Cmcm (63)

The structure in POSCAR format:
```
CrSbS2
1.0
-0.186 9.922 -1.493
-1.187 -9.775 -1.938
-4.379 0.183 1.760
Sb Cr S
2 2 4
Cartesian
-1.959 -3.369 -1.354
-3.793 3.699 -0.317
-3.531 8.860 -0.200
-2.221 -8.529 -1.471
-1.341 8.785 -1.080
-2.096 -6.075 -1.415
-4.411 -8.454 -0.591
-3.656 6.405 -0.255
```

Compound: HfMgZr2N
Source: Alexandria via LeMat-Bulk
Functional: PBE-GGA
Structure: relaxed

Properties
- E_form (uncorrected): -3.5 eV/f.u.
- Space group: P4/mmm (123)

The structure in POSCAR format:
```
HfMgZr2N
1.0
4.571 0.000 0.000
0.000 4.571 0.000
0.000 0.000 4.411
Zr Hf Mg N
2 1 1 1
Cartesian
2.285 0.000 0.000
0.000 2.285 0.000
0.000 0.000 2.206
2.285 2.285 2.206
0.000 0.000 0.000
```

Compound: YHo3Bi4
Source: Alexandria via LeMat-Bulk
Functional: PBE-GGA
Structure: relaxed

Properties
- DFT formation energy: -6.86 eV per formula unit
- Space group: Pm-3m (221)

The structure in POSCAR format:
```
YHo3Bi4
1.0
6.313 0.000 0.000
0.000 6.313 0.000
0.000 0.000 6.313
Bi Ho Y
4 3 1
Cartesian
3.157 3.157 3.157
3.157 0.000 0.000
0.000 0.000 3.157
0.000 3.157 0.000
3.157 0.000 3.157
3.157 3.157 0.000
0.000 3.157 3.157
0.000 0.000 0.000
```

Compound: K3Tb3PuS8
Source: Alexandria via LeMat-Bulk
Functional: PBE-GGA
Structure: relaxed

Properties
- E_form (uncorrected): -26.8 eV/f.u.
- Space group: R-3m (166)

The structure in POSCAR format:
```
K3Tb3PuS8
1.0
8.085 0.000 0.000
-4.043 7.002 -0.027
0.000 -4.640 7.494
S Pu K Tb
8 1 3 3
Cartesian
0.000 -0.033 5.195
4.043 2.395 2.272
6.110 -1.185 2.286
4.043 0.020 5.242
1.976 -1.185 2.286
-2.067 3.547 5.181
0.000 2.342 2.225
2.067 3.547 5.181
0.000 -2.320 3.747
0.000 0.000 0.000
-2.021 3.501 -0.014
2.021 3.501 -0.014
4.043 -2.320 3.747
2.021 1.181 3.733
-2.021 1.181 3.733
```

Compound: Mn3TlGe
Source: Alexandria via LeMat-Bulk
Functional: PBE-GGA
Structure: relaxed

Properties
- DFT formation energy: 3.06 eV per formula unit
- Space group: Pm-3m (221)

The structure in POSCAR format:
```
Mn3TlGe
1.0
4.928 0.000 0.000
0.000 4.928 0.000
0.000 0.000 4.928
Mn Ge Tl
3 1 1
Cartesian
0.000 0.000 2.464
2.464 0.000 0.000
0.000 2.464 0.000
0.000 0.000 0.000
2.464 2.464 2.464
```

Compound: CeHgPb
Source: Alexandria via LeMat-Bulk
Functional: PBE-GGA
Structure: relaxed

Properties
- DFT formation energy: -0.51 eV per formula unit
- Space group: I4mm (107)
- Polymorph energy (0 for the lowest one): 197 meV per atom

The structure in POSCAR format:
```
CeHgPb
1.0
4.233 0.000 0.000
0.000 4.233 0.000
-2.117 -2.117 4.911
Hg Pb Ce
1 1 1
Cartesian
2.117 2.117 1.157
0.000 0.000 2.779
2.117 2.117 4.413
```

Compound: CdAgAs3
Source: Alexandria via LeMat-Bulk
Functional: PBE-GGA
Structure: relaxed

Properties
- DFT formation energy: 4.06 eV per formula unit
- Space group: Pm-3m (221)
- Polymorph energy (0 for the lowest one): 0 meV per atom

The structure in POSCAR format:
```
CdAgAs3
1.0
5.043 0.000 0.000
0.000 5.043 0.000
0.000 0.000 5.043
As Ag Cd
3 1 1
Cartesian
2.521 0.000 0.000
0.000 0.000 2.521
0.000 2.521 0.000
0.000 0.000 0.000
2.521 2.521 2.521
```

Compound: Ti2Cu3Te3O16
Source: Alexandria via LeMat-Bulk
Functional: PBE-GGA
Structure: relaxed

Properties
- E_form (uncorrected): -29.6 eV/f.u.
- Space group: Cm (8)

The structure in POSCAR format:
```
Ti2Cu3Te3O16
1.0
6.373 0.063 0.039
3.558 5.287 0.039
0.575 0.310 9.260
O Ti Te Cu
16 2 3 3
Cartesian
5.544 4.684 5.769
6.961 2.053 5.769
4.270 2.301 5.490
2.652 2.897 7.620
1.571 0.847 0.788
8.188 3.005 3.436
3.879 0.621 7.620
9.076 4.890 5.648
4.462 0.747 0.905
10.301 5.550 7.873
5.310 2.861 7.900
6.730 3.626 1.092
3.078 3.315 0.905
5.407 2.913 3.128
9.867 5.316 2.722
7.013 5.186 3.436
3.012 1.623 0.095
6.578 3.544 4.338
8.248 4.444 2.089
4.045 3.868 6.696
5.456 1.250 6.696
6.493 1.816 1.845
5.088 4.423 1.845
2.285 1.231 6.551
```

VASP energy values (in eV per cell) by entry order: -19.4 -22.4 -14.4 -18.7 -27.8 -12.0 -28.7 -70.9 -11.6 -13.8 -25.3 -139.1 -17.2 -72.0 -60.6 -28.1 -44.2 -40.5 -42.6 -91.3 -31.4 -10.5 -13.7 -146.4.